6
Lattice="3.833 0.000 0.000 0.000 3.844 0.000 0.000 0.000 8.851" Properties=species:S:1:pos:R:3 comment="RbVN (GGA-PBE, optimized geometry)" de_polymorph_mev_per_atom=521.7 space_group="Pmmn, No. 59" formation_energy_uncorrected_ev_per_fu=0.35 rho_g_cm3=3.8 pbc="T T T"
Rb 0.958 0.961 1.382
Rb 2.875 2.883 7.469
V 0.958 0.961 4.931
V 2.875 2.883 3.920
N 0.958 0.961 6.576
N 2.875 2.883 2.275

---

6
Lattice="3.778 0.000 0.000 0.000 3.778 0.000 0.000 0.000 10.949" Properties=species:S:1:pos:R:3 comment="RbVN (GGA-PBE, optimized geometry)" de_polymorph_mev_per_atom=0.0 space_group="P4/nmm, No. 129" formation_energy_uncorrected_ev_per_fu=-1.22 rho_g_cm3=3.2 pbc="T T T"
Rb 0.944 0.944 2.190
Rb 2.833 2.833 8.759
V 0.944 2.833 5.474
V 2.833 0.944 5.474
N 0.944 0.944 6.030
N 2.833 2.833 4.919

---

8
Lattice="0.000 4.518 4.518 4.518 0.000 4.518 4.518 4.518 0.000" Properties=species:S:1:pos:R:3 comment="RbW2N (GGA-PBE, optimized geometry)" space_group="Fd-3m, No. 227" formation_energy_uncorrected_ev_per_fu=4.41 rho_g_cm3=8.4 pbc="T T T"
Rb 1.130 1.130 1.130
Rb 7.907 7.907 7.907
W 4.518 2.259 2.259
W 2.259 4.518 2.259
W 2.259 2.259 4.518
W 4.518 4.518 4.518
N 3.389 3.389 3.389
N 5.648 5.648 5.648

---

12
Lattice="6.770 -1.980 0.000 6.770 1.980 0.000 -1.997 0.000 7.884" Properties=species:S:1:pos:R:3 comment="RbYWN3 (GGA-PBE, optimized geometry)" space_group="C2/m, No. 12" formation_energy_uncorrected_ev_per_fu=-3.54 rho_g_cm3=6.3 pbc="T T T"
Rb 1.809 0.000 0.497
Rb 9.733 0.000 7.387
Y 1.045 0.000 4.565
Y 10.497 0.000 3.319
W 5.346 0.000 5.242
W 6.197 0.000 2.642
N -0.475 0.000 2.554
N 3.339 0.000 4.908
N 4.437 0.000 1.891
N 7.105 0.000 5.994
N 8.204 0.000 2.976
N 12.017 0.000 5.331

---

5
Lattice="-2.556 2.556 4.516 2.556 -2.556 4.516 2.556 2.556 -4.516" Properties=species:S:1:pos:R:3 comment="Rb2YN2 (GGA-PBE, optimized geometry)" de_polymorph_mev_per_atom=133.4 space_group="I4/mmm, No. 139" formation_energy_uncorrected_ev_per_fu=7.04 rho_g_cm3=4.1 pbc="T T T"
Rb 0.000 0.000 1.412
Rb 0.000 0.000 7.620
Y 0.000 0.000 4.516
N 2.556 0.000 2.258
N 0.000 2.556 2.258

---

8
Lattice="-6.660 6.660 2.193 6.660 -6.660 2.193 6.660 6.660 -2.193" Properties=species:S:1:pos:R:3 comment="Rb2YN (GGA-PBE, optimized geometry)" space_group="I-42d, No. 122" formation_energy_uncorrected_ev_per_fu=0.44 rho_g_cm3=2.3 pbc="T T T"
Rb 0.953 3.330 0.548
Rb -3.330 5.707 1.645
Rb -0.953 9.990 0.548
Rb 3.330 7.612 1.645
Y 6.660 0.000 1.097
Y 0.000 0.000 2.193
N 0.000 0.000 0.000
N 0.000 6.660 1.097

---

5
Lattice="5.113 0.000 0.000 0.000 5.113 0.000 0.000 0.000 5.113" Properties=species:S:1:pos:R:3 comment="RbY3N (GGA-PBE, optimized geometry)" space_group="Pm-3m, No. 221" formation_energy_uncorrected_ev_per_fu=0.15 rho_g_cm3=4.5 pbc="T T T"
Rb 0.000 0.000 0.000
Y 0.000 2.557 2.557
Y 2.557 0.000 2.557
Y 2.557 2.557 0.000
N 2.557 2.557 2.557

---

5
Lattice="6.029 0.000 0.000 0.000 6.029 0.000 0.000 0.000 6.029" Properties=species:S:1:pos:R:3 comment="Rb3YN (GGA-PBE, optimized geometry)" de_polymorph_mev_per_atom=0.0 space_group="Pm-3m, No. 221" formation_energy_uncorrected_ev_per_fu=5.29 rho_g_cm3=2.7 pbc="T T T"
Rb 0.000 0.000 3.015
Rb 0.000 3.015 0.000
Rb 3.015 0.000 0.000
Y 3.015 3.015 3.015
N 0.000 0.000 0.000

---

8
Lattice="-3.293 3.293 4.598 3.293 -3.293 4.598 3.293 3.293 -4.598" Properties=species:S:1:pos:R:3 comment="RbYN2 (GGA-PBE, optimized geometry)" de_polymorph_mev_per_atom=0.0 space_group="I-42d, No. 122" formation_energy_uncorrected_ev_per_fu=0.23 rho_g_cm3=3.4 pbc="T T T"
Rb 0.000 0.000 0.000
Rb 0.000 3.293 2.299
Y 3.293 0.000 2.299
Y 0.000 0.000 4.598
N 1.646 -0.980 3.448
N 2.312 1.646 1.149
N 1.646 4.273 -1.149
N 0.980 1.646 5.747

---

4
Lattice="1.788 1.033 10.380 -1.788 1.033 10.380 0.000 -2.065 10.380" Properties=species:S:1:pos:R:3 comment="RbY2N (GGA-PBE, optimized geometry)" space_group="R-3m, No. 166" formation_energy_uncorrected_ev_per_fu=-2.05 rho_g_cm3=4.0 pbc="T T T"
Rb 0.000 0.000 0.000
Y 0.000 0.000 3.878
Y 0.000 0.000 27.262
N 0.000 0.000 15.570

---

4
Lattice="1.837 1.061 7.535 -1.837 1.061 7.535 0.000 -2.122 7.535" Properties=species:S:1:pos:R:3 comment="RbYN2 (GGA-PBE, optimized geometry)" de_polymorph_mev_per_atom=15.3 space_group="R-3m, No. 166" formation_energy_uncorrected_ev_per_fu=0.29 rho_g_cm3=3.8 pbc="T T T"
Rb 0.000 0.000 0.000
Y 0.000 0.000 11.303
N 0.000 0.000 2.666
N 0.000 0.000 19.940

---

8
Lattice="0.000 5.258 5.258 5.258 0.000 5.258 5.258 5.258 0.000" Properties=species:S:1:pos:R:3 comment="RbY2N (GGA-PBE, optimized geometry)" space_group="Fd-3m, No. 227" formation_energy_uncorrected_ev_per_fu=-1.36 rho_g_cm3=3.2 pbc="T T T"
Rb 1.314 1.314 1.314
Rb 9.201 9.201 9.201
Y 5.258 2.629 2.629
Y 2.629 5.258 2.629
Y 2.629 2.629 5.258
Y 5.258 5.258 5.258
N 3.943 3.943 3.943
N 6.572 6.572 6.572

---

4
Lattice="2.221 1.282 7.262 -2.221 1.282 7.262 0.000 -2.564 7.262" Properties=species:S:1:pos:R:3 comment="RbYN2 (GGA-PBE, optimized geometry)" de_polymorph_mev_per_atom=920.1 space_group="R-3m, No. 166" formation_energy_uncorrected_ev_per_fu=3.91 rho_g_cm3=2.7 pbc="T T T"
Rb 0.000 0.000 0.000
Y 0.000 0.000 10.893
N 0.000 0.000 8.971
N 0.000 0.000 12.816

---

4
Lattice="0.000 3.184 3.184 3.184 0.000 3.184 3.184 3.184 0.000" Properties=species:S:1:pos:R:3 comment="RbYN2 (GGA-PBE, optimized geometry)" de_polymorph_mev_per_atom=567.9 space_group="Fm-3m, No. 225" formation_energy_uncorrected_ev_per_fu=2.50 rho_g_cm3=5.2 pbc="T T T"
Rb 0.000 0.000 0.000
Y 3.184 3.184 3.184
N 1.592 1.592 1.592
N 4.776 4.776 4.776

---

10
Lattice="8.018 0.000 0.000 0.000 8.018 0.000 0.000 0.000 3.308" Properties=species:S:1:pos:R:3 comment="Rb2YN2 (GGA-PBE, optimized geometry)" de_polymorph_mev_per_atom=0.0 space_group="P4/mbm, No. 127" formation_energy_uncorrected_ev_per_fu=6.37 rho_g_cm3=4.5 pbc="T T T"
Rb 1.011 2.998 0.000
Rb 2.998 7.007 0.000
Rb 5.020 1.011 0.000
Rb 7.007 5.020 0.000
Y 0.000 0.000 0.000
Y 4.009 4.009 0.000
N 1.454 5.463 1.654
N 2.555 1.454 1.654
N 5.463 6.564 1.654
N 6.564 2.555 1.654

---

5
Lattice="7.480 0.000 0.000 0.000 7.480 0.000 0.000 0.000 7.480" Properties=species:S:1:pos:R:3 comment="Rb3YN (GGA-PBE, optimized geometry)" de_polymorph_mev_per_atom=918.2 space_group="Pm-3m, No. 221" formation_energy_uncorrected_ev_per_fu=9.88 rho_g_cm3=1.4 pbc="T T T"
Rb 0.000 0.000 3.740
Rb 0.000 3.740 0.000
Rb 3.740 0.000 0.000
Y 0.000 0.000 0.000
N 3.740 3.740 3.740

---

20
Lattice="5.771 3.332 4.756 -5.771 3.332 4.756 0.000 -6.664 4.756" Properties=species:S:1:pos:R:3 comment="Rb3YN6 (GGA-PBE, optimized geometry)" space_group="R-3c, No. 167" formation_energy_uncorrected_ev_per_fu=14.65 rho_g_cm3=2.6 pbc="T T T"
Rb -3.828 0.034 5.945
Rb -1.943 -3.298 8.323
Rb 1.885 -3.332 5.945
Rb -1.885 3.332 8.323
Rb 1.943 3.298 5.945
Rb 3.828 -0.034 8.323
Y 0.000 0.000 0.000
Y 0.000 0.000 7.134
N -4.969 -1.594 8.249
N -1.103 -5.100 6.019
N -1.103 -1.564 5.871
N -3.865 3.506 6.019
N -0.802 1.737 5.871
N -1.906 0.174 8.397
N 1.906 -0.174 5.871
N 0.802 -1.737 8.397
N 3.865 -3.506 8.249
N 1.103 1.564 8.397
N 1.103 5.100 8.249
N 4.969 1.594 6.019

---

10
Lattice="7.225 0.000 0.000 0.000 7.225 0.000 0.000 0.000 2.776" Properties=species:S:1:pos:R:3 comment="RbZn2N2 (GGA-PBE, optimized geometry)" de_polymorph_mev_per_atom=686.0 space_group="P4/mbm, No. 127" formation_energy_uncorrected_ev_per_fu=5.35 rho_g_cm3=5.6 pbc="T T T"
Rb 0.000 0.000 0.000
Rb 3.612 3.612 0.000
Zn 0.831 2.782 0.000
Zn 2.782 6.394 0.000
Zn 4.443 0.831 0.000
Zn 6.394 4.443 0.000
N 1.033 4.645 1.388
N 2.579 1.033 1.388
N 4.645 6.192 1.388
N 6.192 2.579 1.388

---

6
Lattice="6.073 0.000 0.000 0.000 3.580 0.000 -2.119 0.000 6.241" Properties=species:S:1:pos:R:3 comment="RbZnN (GGA-PBE, optimized geometry)" space_group="P2_1/m, No. 11" formation_energy_uncorrected_ev_per_fu=0.41 rho_g_cm3=4.0 pbc="T T T"
Rb 0.440 0.895 2.174
Rb 3.514 2.685 4.066
Zn 0.476 0.895 5.407
Zn 3.478 2.685 0.833
N 0.444 2.685 4.750
N 3.509 0.895 1.490

---

4
Lattice="0.000 3.907 3.907 3.907 0.000 3.907 3.907 3.907 0.000" Properties=species:S:1:pos:R:3 comment="Rb2ZnN (GGA-PBE, optimized geometry)" de_polymorph_mev_per_atom=696.0 space_group="Fm-3m, No. 225" formation_energy_uncorrected_ev_per_fu=3.48 rho_g_cm3=3.5 pbc="T T T"
Rb 1.953 1.953 1.953
Rb 5.860 5.860 5.860
Zn 0.000 0.000 0.000
N 3.907 3.907 3.907